Material: ZnHg2Ir
Method: DFT, PBE
State: optimized geometry

```
4
Lattice="9.1964 0.0025 0.0015 8.6854 3.0229 0.0015 8.6854 1.4695 2.6417" Properties=species:S:1:pos:R:3 pbc="T T T"
Ir 6.6418 1.1237 0.6612
Zn 19.9255 3.3711 1.9835
Hg 0.0137 0.0023 0.0014
Hg 13.2700 2.2451 1.3209
```

As for the total DFT energy (no corrections): -2.273 eV/atom. The density of states at the Fermi level comes out at 2.2 states/eV/cell. The energy of formation comes out at 0.412 eV/atom.